# 1
This record from OQMD describes Zn2HgO4 after structural relaxation. The functional is GGA-PBE.

a = 6.238 Å, b = 6.238 Å, c = 6.238 Å
α = 120.00°, β = 90.00°, γ = 120.00°
Sites, in units of the cell vectors:
Hg 0.000 0.000 0.000
Hg 0.750 0.500 0.250
O 0.607 0.215 0.392
O 0.177 0.785 0.392
O 0.608 0.785 0.393
O 0.142 0.285 0.427
O 0.608 0.215 0.823
O 0.142 0.715 0.857
O 0.143 0.285 0.858
O 0.573 0.715 0.858
Zn 0.375 0.750 0.125
Zn 0.375 0.750 0.625
Zn 0.375 0.250 0.625
Zn 0.875 0.250 0.625

total DFT energy (no corrections)	-3.85	eV/atom

***

# 2
This record from OQMD describes HoGaSiIr2 after structural relaxation. The functional is GGA-PBE.

a = 4.094 Å, b = 4.094 Å, c = 10.360 Å
α = 90.00°, β = 90.00°, γ = 90.00°
Sites, in units of the cell vectors:
Ga 0.000 0.000 0.500
Ga 0.500 0.500 0.500
Ho 0.000 0.500 0.245
Ho 0.500 0.000 0.755
Ir 0.000 0.000 0.000
Ir 0.500 0.500 0.000
Ir 0.500 0.000 0.351
Ir 0.000 0.500 0.649
Si 0.500 0.000 0.124
Si 0.000 0.500 0.876

total DFT energy (no corrections)	-7.10	eV/atom

***

# 3
This record from OQMD describes In2FeSn after structural relaxation. The functional is GGA-PBE.

a = 4.903 Å, b = 4.903 Å, c = 4.903 Å
α = 60.00°, β = 60.00°, γ = 60.00°
Site moments in Bohr magnetons follow the coordinates.
Sites, in units of the cell vectors:
Fe 0.750 0.750 0.750  2.52
In 0.000 0.000 0.000  -0.04
In 0.250 0.250 0.250  -0.02
Sn 0.500 0.500 0.500  -0.06

total DFT energy (no corrections)	-3.96	eV/atom

***

# 4
This record from OQMD describes Y2HoCu4Si2Sn2 after structural relaxation. The functional is GGA-PBE.

a = 8.195 Å, b = 8.195 Å, c = 8.195 Å
α = 149.38°, β = 132.29°, γ = 57.76°
Sites, in units of the cell vectors:
Cu 0.657 0.346 0.311
Cu 0.964 0.654 0.311
Cu 0.343 0.654 0.689
Cu 0.036 0.346 0.689
Ho 0.000 0.000 0.000
Si 0.683 0.500 0.183
Si 0.317 0.500 0.817
Sn 0.218 0.218 0.000
Sn 0.782 0.782 0.000
Y 0.624 0.124 0.500
Y 0.376 0.876 0.500

polymorph energy (0 for the lowest one)	0	meV per atom
total DFT energy (no corrections)	-5.25	eV/atom

***

# 5
This record from OQMD describes PuScFe after structural relaxation. The functional is GGA-PBE.

a = 4.305 Å, b = 4.305 Å, c = 4.305 Å
α = 60.00°, β = 60.00°, γ = 60.00°
Sites, in units of the cell vectors:
Fe 0.000 0.000 0.000
Pu 0.250 0.250 0.250
Sc 0.750 0.750 0.750

polymorph energy (0 for the lowest one)	0	meV per atom
total DFT energy (no corrections)	-8.82	eV/atom

***

# 6
This record from OQMD describes Nd3Gd3CoTe2 after structural relaxation. The functional is GGA-PBE.

a = 8.667 Å, b = 8.667 Å, c = 3.956 Å
α = 90.00°, β = 90.00°, γ = 120.00°
Sites, in units of the cell vectors:
Co 0.000 0.000 0.000
Gd 0.588 0.000 0.000
Gd 0.412 0.412 0.000
Gd 0.000 0.588 0.000
Nd 0.237 0.000 0.500
Nd 0.000 0.237 0.500
Nd 0.763 0.763 0.500
Te 0.667 0.333 0.500
Te 0.333 0.667 0.500

polymorph energy (0 for the lowest one)	64	meV per atom
total DFT energy (no corrections)	-5.26	eV/atom